Record 1
Compound: Be3NbW
Source: the Alexandria database
Functional: PBE
Structure: relaxed

a = 4.133 Å, b = 4.133 Å, c = 4.133 Å
α = 90.00°, β = 90.00°, γ = 90.00°
Element x y z (fractional)
Be 0.000 0.000 0.500
Be 0.000 0.500 0.000
Be 0.500 0.000 0.000
Nb 0.000 0.000 0.000
W 0.500 0.500 0.500

Calculated values
For the energy relative to the elements, the calculation gives 1.72 eV/atom. As for the total energy: -5.119 eV per atom. Its distance to the lowest polymorph of the same formula is 0.583 eV/atom. Its space-group type is Pm-3m (221). The calculated volume is 70.60 Å³ per cell.

---

Record 2
Compound: CaRe2Ir
Source: the Alexandria database
Functional: PBE
Structure: relaxed

a = 7.731 Å, b = 7.731 Å, c = 5.217 Å
α = 90.00°, β = 90.00°, γ = 90.00°
Element x y z (fractional)
Ca 0.000 0.000 0.000
Ca 0.000 0.500 0.250
Ca 0.500 0.000 0.750
Ca 0.500 0.500 0.500
Re 0.191 0.750 0.625
Re 0.250 0.191 0.375
Re 0.250 0.309 0.875
Re 0.309 0.750 0.125
Re 0.691 0.250 0.125
Re 0.750 0.691 0.875
Re 0.750 0.809 0.375
Re 0.809 0.250 0.625
Ir 0.000 0.000 0.500
Ir 0.000 0.500 0.750
Ir 0.500 0.000 0.250
Ir 0.500 0.500 0.000

Calculated values
For the energy relative to the elements, the calculation gives 0.82 eV/atom. As for the total energy: -8.119 eV per atom. Its distance to the lowest polymorph of the same formula is 0.582 eV/atom. Its space-group type is I-42d (122). The calculated volume is 311.79 Å³ per cell.

---

Record 3
Compound: Pm5Pr3
Source: the Alexandria database
Functional: PBE
Structure: relaxed

a = 3.680 Å, b = 3.680 Å, c = 20.771 Å
α = 90.00°, β = 90.00°, γ = 90.00°
Element x y z (fractional)
Pm 0.000 0.000 0.000
Pm 0.000 0.000 0.251
Pm 0.000 0.000 0.749
Pm 0.500 0.500 0.375
Pm 0.500 0.500 0.625
Pr 0.000 0.000 0.500
Pr 0.500 0.500 0.126
Pr 0.500 0.500 0.874

Calculated values
For the energy relative to the elements, the calculation gives 0.02 eV/atom. As for the total energy: -4.746 eV per atom. Its space-group type is P4/mmm (123). The calculated volume is 281.23 Å³ per cell.

---

Record 4
Compound: LaNdO
Source: the Alexandria database
Functional: PBE
Structure: relaxed

a = 6.467 Å, b = 5.892 Å, c = 7.295 Å
α = 90.00°, β = 90.31°, γ = 90.00°
Element x y z (fractional)
La 0.100 0.238 0.131
La 0.100 0.262 0.631
La 0.900 0.738 0.369
La 0.900 0.762 0.869
Nd 0.402 0.740 0.627
Nd 0.402 0.760 0.127
Nd 0.598 0.240 0.873
Nd 0.598 0.260 0.373
O 0.259 0.001 0.871
O 0.259 0.499 0.371
O 0.741 0.501 0.629
O 0.741 0.999 0.129

Calculated values
As for the total energy: -6.642 eV per atom. Its distance to the lowest polymorph of the same formula is 0.000 eV/atom. As for the uncorrected formation energy: -1.757 eV/atom. Its space-group type is P2_1/c (14). The calculated volume is 277.97 Å³ per cell.

---

Record 5
Compound: YNiPb4
Source: the Alexandria database
Functional: PBE
Structure: relaxed

a = 6.325 Å, b = 6.325 Å, c = 6.325 Å
α = 60.00°, β = 60.00°, γ = 60.00°
Element x y z (fractional)
Y 0.000 0.000 0.000
Ni 0.750 0.750 0.750
Pb 0.375 0.375 0.375
Pb 0.375 0.375 0.876
Pb 0.375 0.876 0.375
Pb 0.876 0.375 0.375

Calculated values
For the energy relative to the elements, the calculation gives 0.42 eV/atom. As for the total energy: -4.092 eV per atom. Its space-group type is F-43m (216). The calculated volume is 178.89 Å³ per cell.

---

Record 6
Compound: Zn2InNi5
Source: the Alexandria database
Functional: PBE
Structure: relaxed

a = 3.839 Å, b = 3.839 Å, c = 13.658 Å
α = 90.00°, β = 90.00°, γ = 90.00°
Element x y z (fractional)
Zn 0.000 0.000 0.249
Zn 0.000 0.000 0.751
Zn 0.500 0.500 0.251
Zn 0.500 0.500 0.749
In 0.000 0.000 0.500
In 0.500 0.500 0.000
Ni 0.000 0.000 0.000
Ni 0.000 0.500 0.132
Ni 0.000 0.500 0.368
Ni 0.000 0.500 0.632
Ni 0.000 0.500 0.868
Ni 0.500 0.000 0.132
Ni 0.500 0.000 0.368
Ni 0.500 0.000 0.632
Ni 0.500 0.000 0.868
Ni 0.500 0.500 0.500

Calculated values
For the energy relative to the elements, the calculation gives -0.15 eV/atom. As for the total energy: -4.422 eV per atom. Its space-group type is I4/mmm (139). The calculated volume is 201.34 Å³ per cell.